(1)
# GGA-PBE MgZn2Pb, optimized geometry
# DFT formation energy   0.123 eV/atom
# Calculated density   6.98 g cm⁻³
# Total DFT energy (no corrections)   -1.840 eV/atom
# E above lowest polymorph   0.081 eV/atom
# M_tot   0.00 μB/cell
data_MgZn2Pb
_cell_length_a 5.175
_cell_length_b 3.296
_cell_length_c 5.351
_cell_angle_alpha 90.00
_cell_angle_beta 109.23
_cell_angle_gamma 90.00
_symmetry_space_group_name_H-M 'P 1 2/m 1'
_symmetry_Int_Tables_number 10
loop_
_symmetry_equiv_pos_as_xyz
'x,y,z'
'-x,-y,-z'
'-x,y,-z'
'x,-y,z'
loop_
_atom_site_label
_atom_site_type_symbol
_atom_site_fract_x
_atom_site_fract_y
_atom_site_fract_z
_atom_site_occupancy
Mg1 Mg 0.000 0.000 0.000 1
Zn1 Zn 0.500 0.000 0.500 1
Zn2 Zn 0.500 0.500 0.000 1
Pb1 Pb 0.000 0.500 0.500 1

***

(2)
# GGA-PBE Mn2SiPd8, optimized geometry
# Calculated density   9.76 g cm⁻³
# Formation energy from raw total energies   -0.233 eV/atom
# Total DFT energy (no corrections)   -6.170 eV/atom
# E above lowest polymorph   0.079 eV/atom
# M_tot   17.99 μB/cell
data_Mn2SiPd8
_cell_length_a 4.292
_cell_length_b 7.157
_cell_length_c 10.962
_cell_angle_alpha 90.00
_cell_angle_beta 90.00
_cell_angle_gamma 90.00
_symmetry_space_group_name_H-M 'I m m m'
_symmetry_Int_Tables_number 71
_symmetry_space_group_name_Hall '-I 2 2'
loop_
_atom_site_label
_atom_site_type_symbol
_atom_site_fract_x
_atom_site_fract_y
_atom_site_fract_z
_atom_site_occupancy
Mn1 Mn 0.000 0.000 0.203 1
Si1 Si 0.000 0.000 0.500 1
Pd1 Pd 0.000 0.183 0.000 1
Pd2 Pd 0.000 0.279 0.351 1
Pd3 Pd 0.000 0.500 0.135 1

***

(3)
# GGA-PBE CdInW, optimized geometry
# DFT formation energy   0.391 eV/atom
# Calculated density   10.73 g cm⁻³
# Total DFT energy (no corrections)   -5.145 eV/atom
# E above lowest polymorph   0.134 eV/atom
# M_tot   0.00 μB/cell
data_CdInW
_cell_length_a 2.934
_cell_length_b 4.891
_cell_length_c 9.196
_cell_angle_alpha 74.92
_cell_angle_beta 87.29
_cell_angle_gamma 90.00
_symmetry_space_group_name_H-M 'P -1'
_symmetry_Int_Tables_number 2
loop_
_symmetry_equiv_pos_as_xyz
'x,y,z'
'-x,-y,-z'
loop_
_atom_site_label
_atom_site_type_symbol
_atom_site_fract_x
_atom_site_fract_y
_atom_site_fract_z
_atom_site_occupancy
Cd1 Cd 0.240 0.215 0.070 1
In1 In 0.214 0.591 0.320 1
W1 W 0.321 0.935 0.627 1

***

(4)
# GGA-PBE GdHo3Mn, optimized geometry
# DFT formation energy   0.222 eV/atom
# Calculated density   7.99 g cm⁻³
# Total DFT energy (no corrections)   -7.175 eV/atom
# M_tot   8.53 μB/cell
data_GdHo3Mn
_cell_length_a 5.276
_cell_length_b 5.276
_cell_length_c 5.276
_cell_angle_alpha 90.00
_cell_angle_beta 90.00
_cell_angle_gamma 90.00
_symmetry_space_group_name_H-M 'P m -3 m'
_symmetry_Int_Tables_number 221
_symmetry_space_group_name_Hall '-P 4 2 3'
loop_
_atom_site_label
_atom_site_type_symbol
_atom_site_fract_x
_atom_site_fract_y
_atom_site_fract_z
_atom_site_occupancy
Gd1 Gd 0.000 0.000 0.000 1
Ho1 Ho 0.000 0.500 0.500 1
Mn1 Mn 0.500 0.500 0.500 1

***

(5)
# GGA-PBE Re2TeRh, optimized geometry
# Calculated density   15.55 g cm⁻³
# Formation energy from raw total energies   0.605 eV/atom
# Total DFT energy (no corrections)   -8.243 eV/atom
# M_tot   0.00 μB/cell
data_Re2TeRh
_cell_length_a 4.553
_cell_length_b 4.553
_cell_length_c 3.106
_cell_angle_alpha 90.00
_cell_angle_beta 90.00
_cell_angle_gamma 90.00
_symmetry_space_group_name_H-M 'P 4/m m m'
_symmetry_Int_Tables_number 123
_symmetry_space_group_name_Hall '-P 4 2'
loop_
_atom_site_label
_atom_site_type_symbol
_atom_site_fract_x
_atom_site_fract_y
_atom_site_fract_z
_atom_site_occupancy
Re1 Re 0.000 0.500 0.000 1
Te1 Te 0.000 0.000 0.500 1
Rh1 Rh 0.500 0.500 0.500 1

***

(6)
# GGA-PBE K2InOF3, optimized geometry
# Calculated density   3.58 g cm⁻³
# Formation energy from raw total energies   -2.383 eV/atom
# Total DFT energy (no corrections)   -4.598 eV/atom
# M_tot   0.08 μB/cell
data_K2InOF3
_cell_length_a 4.067
_cell_length_b 4.440
_cell_length_c 13.648
_cell_angle_alpha 90.00
_cell_angle_beta 90.00
_cell_angle_gamma 90.00
_symmetry_space_group_name_H-M 'I m m m'
_symmetry_Int_Tables_number 71
_symmetry_space_group_name_Hall '-I 2 2'
loop_
_atom_site_label
_atom_site_type_symbol
_atom_site_fract_x
_atom_site_fract_y
_atom_site_fract_z
_atom_site_occupancy
K1 K 0.000 0.000 0.146 1
In1 In 0.000 0.000 0.500 1
O1 O 0.000 0.500 0.000 1
F1 F 0.000 0.000 0.338 1
F2 F 0.000 0.500 0.500 1

***

(7)
# GGA-PBE Dy6SbS4, optimized geometry
# Calculated density   7.94 g cm⁻³
# Formation energy from raw total energies   -1.666 eV/atom
# Total DFT energy (no corrections)   -6.051 eV/atom
# M_tot   0.00 μB/cell
data_Dy6SbS4
_cell_length_a 3.991
_cell_length_b 12.836
_cell_length_c 20.011
_cell_angle_alpha 90.00
_cell_angle_beta 90.00
_cell_angle_gamma 90.00
_symmetry_space_group_name_H-M 'C m c m'
_symmetry_Int_Tables_number 63
_symmetry_space_group_name_Hall '-C 2c 2'
loop_
_atom_site_label
_atom_site_type_symbol
_atom_site_fract_x
_atom_site_fract_y
_atom_site_fract_z
_atom_site_occupancy
Dy1 Dy 0.000 0.000 0.000 1
Dy2 Dy 0.000 0.154 0.250 1
Dy3 Dy 0.000 0.272 0.588 1
Dy4 Dy 0.000 0.457 0.159 1
Sb1 Sb 0.000 0.166 0.750 1
S1 S 0.000 0.091 0.122 1
S2 S 0.000 0.360 0.038 1

***

(8)
# GGA-PBE Cs3HgBr, optimized geometry
# Calculated density   3.16 g cm⁻³
# Formation energy from raw total energies   -0.690 eV/atom
# Total DFT energy (no corrections)   -1.597 eV/atom
# E above lowest polymorph   0.060 eV/atom
# M_tot   0.00 μB/cell
data_Cs3HgBr
_cell_length_a 7.091
_cell_length_b 7.091
_cell_length_c 7.091
_cell_angle_alpha 90.00
_cell_angle_beta 90.00
_cell_angle_gamma 90.00
_symmetry_space_group_name_H-M 'P m -3 m'
_symmetry_Int_Tables_number 221
_symmetry_space_group_name_Hall '-P 4 2 3'
loop_
_atom_site_label
_atom_site_type_symbol
_atom_site_fract_x
_atom_site_fract_y
_atom_site_fract_z
_atom_site_occupancy
Cs1 Cs 0.000 0.000 0.500 1
Hg1 Hg 0.500 0.500 0.500 1
Br1 Br 0.000 0.000 0.000 1

***

(9)
# GGA-PBE Cs2Y2TiS6, optimized geometry
# Calculated density   3.52 g cm⁻³
# Formation energy from raw total energies   -1.680 eV/atom
# Total DFT energy (no corrections)   -5.980 eV/atom
# M_tot   0.00 μB/cell
data_Cs2Y2TiS6
_cell_length_a 6.767
_cell_length_b 11.613
_cell_length_c 8.545
_cell_angle_alpha 90.00
_cell_angle_beta 106.08
_cell_angle_gamma 90.00
_symmetry_space_group_name_H-M 'C 1 2/m 1'
_symmetry_Int_Tables_number 12
loop_
_symmetry_equiv_pos_as_xyz
'x,y,z'
'-x,-y,-z'
'-x,y,-z'
'x,-y,z'
'x+1/2,y+1/2,z'
'-x+1/2,-y+1/2,-z'
'-x+1/2,y+1/2,-z'
'x+1/2,-y+1/2,z'
loop_
_atom_site_label
_atom_site_type_symbol
_atom_site_fract_x
_atom_site_fract_y
_atom_site_fract_z
_atom_site_occupancy
Cs1 Cs 0.000 0.171 0.000 1
Y1 Y 0.000 0.333 0.500 1
Ti1 Ti 0.000 0.000 0.500 1
S1 S 0.214 0.152 0.674 1
S2 S 0.243 0.000 0.328 1

***

(10)
# GGA-PBE KAl2TePd, optimized geometry
# Calculated density   2.94 g cm⁻³
# Formation energy from raw total energies   1.373 eV/atom
# Total DFT energy (no corrections)   -2.011 eV/atom
# M_tot   0.00 μB/cell
data_KAl2TePd
_cell_length_a 5.634
_cell_length_b 5.634
_cell_length_c 5.827
_cell_angle_alpha 90.00
_cell_angle_beta 90.00
_cell_angle_gamma 90.00
_symmetry_space_group_name_H-M 'P 4/m m m'
_symmetry_Int_Tables_number 123
_symmetry_space_group_name_Hall '-P 4 2'
loop_
_atom_site_label
_atom_site_type_symbol
_atom_site_fract_x
_atom_site_fract_y
_atom_site_fract_z
_atom_site_occupancy
K1 K 0.000 0.000 0.000 1
Al1 Al 0.000 0.500 0.000 1
Te1 Te 0.000 0.000 0.500 1
Pd1 Pd 0.500 0.500 0.500 1

***

(11)
# GGA-PBE Cs3TcBr8, optimized geometry
# Calculated density   3.93 g cm⁻³
# Formation energy from raw total energies   -1.044 eV/atom
# Total DFT energy (no corrections)   -3.236 eV/atom
# M_tot   3.82 μB/cell
data_Cs3TcBr8
_cell_length_a 10.9179
_cell_length_b 10.9179
_cell_length_c 9.3086
_cell_angle_alpha 90.00
_cell_angle_beta 90.00
_cell_angle_gamma 120.00
_symmetry_space_group_name_H-M 'P 63 m c'
_symmetry_Int_Tables_number 186
_symmetry_space_group_name_Hall 'P 6c -2c'
loop_
_atom_site_label
_atom_site_type_symbol
_atom_site_fract_x
_atom_site_fract_y
_atom_site_fract_z
_atom_site_occupancy
Cs1 Cs 0.1521 0.3042 0.0000 1
Tc1 Tc 0.3333 0.6667 0.4310 1
Br1 Br 0.0000 0.0000 0.2524 1
Br2 Br 0.1162 0.5581 0.2753 1
Br3 Br 0.2248 0.4496 0.5902 1
Br4 Br 0.3333 0.6667 0.9202 1

***

(12)
# GGA-PBE DyNi4Au8, optimized geometry
# DFT formation energy   -0.197 eV/atom
# Calculated density   15.04 g cm⁻³
# Total DFT energy (no corrections)   -4.347 eV/atom
# M_tot   0.00 μB/cell
data_DyNi4Au8
_cell_length_a 9.068
_cell_length_b 9.068
_cell_length_c 5.299
_cell_angle_alpha 90.00
_cell_angle_beta 90.00
_cell_angle_gamma 90.00
_symmetry_space_group_name_H-M 'I 4/m m m'
_symmetry_Int_Tables_number 139
_symmetry_space_group_name_Hall '-I 4 2'
loop_
_atom_site_label
_atom_site_type_symbol
_atom_site_fract_x
_atom_site_fract_y
_atom_site_fract_z
_atom_site_occupancy
Dy1 Dy 0.000 0.000 0.000 1
Ni1 Ni 0.250 0.250 0.250 1
Au1 Au 0.000 0.220 0.500 1
Au2 Au 0.000 0.331 0.000 1